Here is a relaxed Tb12PrEr3 crystal from the Alexandria database. Energies are from PBE-GGA.

Values from the calculation:
mass density = 8.298 g/cm³
electronic total energy = -73.728 eV for the cell shown
energy relative to the elements = 0.30 eV per formula unit

a = 5.0337 Å, b = 5.0337 Å, c = 20.1384 Å
α = 90.00°, β = 90.00°, γ = 90.00°
Atoms (fractional coordinates):
Tb 0.0000 0.0000 0.0000
Tb 0.0000 0.0000 0.2478
Tb 0.0000 0.0000 0.5000
Tb 0.0000 0.0000 0.7522
Tb 0.0000 0.5000 0.1242
Tb 0.0000 0.5000 0.3725
Tb 0.0000 0.5000 0.6275
Tb 0.0000 0.5000 0.8758
Tb 0.5000 0.0000 0.1242
Tb 0.5000 0.0000 0.3725
Tb 0.5000 0.0000 0.6275
Tb 0.5000 0.0000 0.8758
Pr 0.5000 0.5000 0.5000
Er 0.5000 0.5000 0.0000
Er 0.5000 0.5000 0.2484
Er 0.5000 0.5000 0.7516